(1)
DFT (PBE) results for a geometry-optimized V4Cr3Re structure.

Calculated values
* E: -9.89 eV/atom
* formation energy: -0.167 eV per atom
* space group: Pmmm (47)
* N(E_F): 6.2 states/eV/f.u.
* total magnetization: 0.00 μB/atom

```
8
Lattice="2.9540 0.0000 0.0000 0.0000 4.1987 0.0000 0.0000 0.0000 8.2868" Properties=species:S:1:pos:R:3 pbc="T T T"
V 0.0000 0.0000 0.0000
V 0.0000 0.0000 4.1434
V 0.0000 2.0994 2.0082
V 0.0000 2.0994 6.2786
Cr 1.4770 0.0000 2.0376
Cr 1.4770 0.0000 6.2492
Cr 1.4770 2.0994 0.0000
Re 1.4770 2.0994 4.1434
```


(2)
DFT (PBE) results for a geometry-optimized V2Cr7Re2 structure.

Calculated values
* E: -9.73 eV/atom
* formation energy: 0.319 eV per atom
* space group: C2/m (12)
* N(E_F): 12.3 states/eV/f.u.
* total magnetization: 0.00 μB/atom

```
11
Lattice="2.4783 -4.3984 0.0000 2.4783 4.3984 0.0000 -1.0948 0.0000 6.6867" Properties=species:S:1:pos:R:3 pbc="T T T"
V 0.4762 0.0000 1.4993
V 3.3855 0.0000 5.1874
Cr 0.5777 1.9093 5.6436
Cr 0.7421 0.0000 4.0451
Cr 3.2841 1.9093 1.0431
Cr 2.4783 0.0000 0.0000
Cr 0.5777 -1.9093 5.6436
Cr 3.1196 0.0000 2.6416
Cr 3.2841 -1.9093 1.0431
Re 1.9309 2.1993 3.3433
Re 1.9309 -2.1993 3.3433
```


(3)
DFT (PBE) results for a geometry-optimized V3Cr2Re2 structure.

Calculated values
* E: -10.24 eV/atom
* offset from the most stable computed form: 132 meV/atom
* formation energy: -0.030 eV per atom
* space group: Cmmm (65)
* N(E_F): 3.5 states/eV/f.u.
* total magnetization: 0.00 μB/atom

```
7
Lattice="1.5205 -10.4550 0.0000 1.5205 10.4550 0.0000 0.0000 0.0000 2.9916" Properties=species:S:1:pos:R:3 pbc="T T T"
V 0.0000 0.0000 0.0000
V 1.5205 7.3759 0.0000
V 1.5205 -7.3759 0.0000
Cr 1.5205 4.4237 1.4958
Cr 1.5205 -4.4237 1.4958
Re 1.5205 1.5245 1.4958
Re 1.5205 -1.5245 1.4958
```


(4)
DFT (PBE) results for a geometry-optimized VCr6Re2 structure.

Calculated values
* E: -9.96 eV/atom
* offset from the most stable computed form: 0 meV/atom
* formation energy: 0.238 eV per atom
* space group: C2/m (12)
* N(E_F): 10.3 states/eV/f.u.
* total magnetization: 0.00 μB/atom

```
9
Lattice="4.1335 -2.4320 0.0000 4.1335 2.4320 0.0000 -1.4301 0.0000 5.7247" Properties=species:S:1:pos:R:3 pbc="T T T"
V 0.0000 0.0000 0.0000
Cr 3.3936 1.1888 1.7789
Cr 1.3584 0.0000 2.3328
Cr 3.4433 1.1888 3.9458
Cr 3.3936 -1.1888 1.7789
Cr 5.4785 0.0000 3.3919
Cr 3.4433 -1.1888 3.9458
Re 1.2995 0.0000 5.1709
Re 5.5373 0.0000 0.5538
```